A relaxed SiNiN2F crystal. Source: the Alexandria database, functional PBE with a Hubbard U.

abc: 3.590 3.590 3.639
angles: 90.00 90.00 90.00
Atoms (fractional coordinates):
Ni: 0.500 0.500 0.500
Si: 0.000 0.000 0.000
N: 0.000 0.500 0.000
N: 0.500 0.000 0.000
F: 0.000 0.000 0.500

Properties
E_tot, eV/atom: -5.386
Energy above the most stable polymorph in this dataset, eV/atom: 0.0000